# CaTb3Sm6Ho2

CaTb3Sm6Ho2 after structural relaxation (GGA-PBE, Alexandria via LeMat-Bulk).

Values from the calculation:
**Space-group type**: C2/m (12)

a b c (Å): 6.264 6.264 11.885
angles (deg): 95.00 95.00 119.98
Element x y z (fractional)
Ca 0.000 0.000 0.000
Tb 0.166 0.834 0.500
Tb 0.500 0.500 0.500
Tb 0.834 0.166 0.500
Sm 0.085 0.425 0.252
Sm 0.255 0.255 0.747
Sm 0.425 0.085 0.252
Sm 0.575 0.915 0.748
Sm 0.745 0.745 0.253
Sm 0.915 0.575 0.748
Ho 0.333 0.667 0.000
Ho 0.667 0.333 0.000

=====

# CaTb4Sm2Ho

CaTb4Sm2Ho after structural relaxation (GGA-PBE, Alexandria via LeMat-Bulk).

Values from the calculation:
**Space-group type**: P-1 (2)

a b c (Å): 7.188 7.209 12.486
angles (deg): 73.44 73.36 60.14
Element x y z (fractional)
Ca 0.000 0.000 0.000
Ca 0.500 0.000 0.000
Tb 0.246 0.256 0.251
Tb 0.250 0.258 0.743
Tb 0.250 0.742 0.257
Tb 0.254 0.744 0.749
Tb 0.746 0.256 0.251
Tb 0.750 0.258 0.743
Tb 0.750 0.742 0.257
Tb 0.754 0.744 0.749
Sm 0.000 0.000 0.500
Sm 0.000 0.500 0.000
Sm 0.000 0.500 0.500
Sm 0.500 0.500 0.500
Ho 0.500 0.000 0.500
Ho 0.500 0.500 0.000

=====

What did we get for E_form? Answer: 0.039; 0.057 eV per atom, in the order shown.
What did we get for raw total energy? Answer: -4.408; -4.261 eV per atom, in the order shown.
What did we get for total magnetization? Answer: 0.000; 0.000 μB/atom, in the order shown.